7
Lattice="-4.734 -2.986 -2.153 3.843 1.131 -4.458 2.721 -3.318 4.189" Properties=species:S:1:pos:R:3 comment="Li3InPb3 | the Alexandria database | PBE-GGA | optimized geometry" magmom_total_mub_per_cell=0.0 vol_a3_per_atom=23.71 polymorph_energy_ev_per_atom=0.000 pbc="T T T"
Li 1.192 -0.472 -5.335
Li 0.680 -2.559 -0.934
Li 5.046 -0.644 -2.056
In 3.284 0.967 -3.810
Pb -0.587 -0.943 -3.017
Pb 2.648 -2.169 -3.226
Pb 3.019 -1.103 0.051



5
Lattice="3.947 0.000 0.000 0.000 3.947 0.000 0.000 0.000 4.047" Properties=species:S:1:pos:R:3 comment="HfAgNO2 | the Alexandria database | PBE-GGA | optimized geometry" e_form_raw_mev_per_atom=195 magmom_total_mub_per_cell=0.0 vol_a3_per_atom=12.61 pbc="T T T"
Hf 1.973 1.973 2.023
O 0.000 1.973 0.000
O 1.973 0.000 0.000
Ag 0.000 0.000 0.000
N 0.000 0.000 2.023



7
Lattice="-3.789 1.402 2.077 0.388 -4.402 -1.289 3.755 0.711 6.369" Properties=species:S:1:pos:R:3 comment="Li2ErGa2Ag2 | the Alexandria database | PBE-GGA | optimized geometry" energy_ev_per_atom=-3.21 magmom_total_mub_per_cell=0.0 vol_a3_per_atom=18.21 pbc="T T T"
Li 1.193 -0.733 2.670
Li -0.839 -1.556 4.488
Er 0.000 0.000 0.000
Ga 0.606 0.648 5.636
Ga -0.252 -2.937 1.521
Ag -1.822 -0.879 2.238
Ag 2.176 -1.411 4.920